# 1
Zr4Zn3Hg: relaxed, PBE.

Lattice parameters (Å, degrees): 3.180 3.180 15.349 90.00 90.00 90.00
Fractional coordinates of all 8 atoms:
Zn 0.500 0.500 0.259
Zn 0.500 0.500 0.500
Zn 0.500 0.500 0.741
Hg 0.500 0.500 0.000
Zr 0.000 0.000 0.860
Zr 0.000 0.000 0.140
Zr 0.000 0.000 0.380
Zr 0.000 0.000 0.620

Output
SG	P4/mmm
formation enthalpy at 0 K	-1.91	eV/f.u.



# 2
Zr2ZnHg: relaxed, PBE.

Lattice parameters (Å, degrees): 5.805 5.805 5.102 64.56 64.56 32.14
Fractional coordinates of all 4 atoms:
Zn 0.243 0.243 0.266
Hg 0.520 0.520 0.473
Zr 0.988 0.988 0.005
Zr 0.750 0.750 0.757

Output
SG	Cm
formation enthalpy at 0 K	-0.57	eV/f.u.



# 3
ZrZnHg2: relaxed, PBE.

Lattice parameters (Å, degrees): 5.012 5.012 5.618 79.01 79.01 37.30
Fractional coordinates of all 4 atoms:
Hg 0.994 0.994 0.011
Hg 0.506 0.506 0.489
Zn 0.250 0.250 0.250
Zr 0.750 0.750 0.750

Output
SG	C2/m
formation enthalpy at 0 K	0.03	eV/f.u.